## CrSb2TePb (PBE-GGA)

Data for a geometry-optimized CrSb2TePb structure.

Properties
Its final energy is -3.770 eV/atom. For the formation energy without anion corrections, the calculation gives 1.174 eV/atom. For the size of the total moment, the calculation gives 3.80 μB/cell. As for the energy above the most stable polymorph in this dataset: 0.883 eV per atom.

Lattice parameters (Å, degrees): 5.7904 5.7904 5.8229 90.00 90.00 90.00
Atoms (fractional coordinates):
Cr 0.0000 0.0000 0.0000
Sb 0.0000 0.5000 0.5000
Sb 0.5000 0.0000 0.5000
Te 0.5000 0.5000 0.0000
Pb 0.5000 0.5000 0.5000